Entry from the Alexandria database: a relaxed K2TiVO5 crystal (PBE with a Hubbard U).

Lattice parameters (Å, degrees): 3.168 6.501 13.065 90.00 90.00 104.10
Site moments in Bohr magnetons follow the coordinates.
Atoms (fractional coordinates):
K 0.827 0.655 0.792  0.00
K 0.076 0.151 0.674  0.00
K 0.173 0.345 0.292  0.00
K 0.924 0.849 0.174  0.00
Ti 0.771 0.541 0.527  0.03
Ti 0.229 0.459 0.027  0.03
V 0.527 0.054 0.945  1.02
V 0.473 0.946 0.445  1.02
O 0.369 0.737 0.996  -0.01
O 0.684 0.369 0.930  -0.01
O 0.495 0.990 0.817  -0.07
O 0.274 0.548 0.622  0.00
O 0.947 0.894 0.522  -0.01
O 0.631 0.263 0.496  -0.01
O 0.316 0.631 0.430  -0.01
O 0.505 0.010 0.317  -0.07
O 0.726 0.452 0.122  0.00
O 0.053 0.106 0.022  -0.01

Calculated values
Symmetry = Cmc2_1 (36)
Final energy = -62.55 eV per formula unit